Here is an optimized crystal structure of CdTe2NF from Alexandria. Energies are from PBE-GGA.

Geometry as POSCAR:
```
CdTe2NF
1.0
5.6255 0.0000 0.0000
0.0000 5.6255 0.0000
0.0000 0.0000 4.0201
Cd Te N F
1 2 1 1
direct
0.0000 0.0000 0.0000 Cd
0.0000 0.5000 0.0000 Te
0.5000 0.0000 0.0000 Te
0.0000 0.0000 0.5000 N
0.5000 0.5000 0.5000 F
```

Values from the calculation:
Energy above the lowest structure with this stoichiometry, kJ/mol of formula units: 41
SG: P4/mmm (123)
E_form (uncorrected), eV/atom: 1.029
Crystal system: tetragonal

***

Here is an optimized crystal structure of CdTe2NF from Alexandria. Energies are from PBE-GGA.

Geometry as POSCAR:
```
CdTe2NF
1.0
4.8752 0.0000 0.0000
0.0000 4.8752 0.0000
0.0000 0.0000 4.3128
Cd Te N F
1 2 1 1
direct
0.0000 0.0000 0.0000 Cd
0.0000 0.5000 0.5000 Te
0.5000 0.0000 0.5000 Te
0.5000 0.5000 0.0000 N
0.5000 0.5000 0.5000 F
```

Values from the calculation:
Energy above the lowest structure with this stoichiometry, kJ/mol of formula units: 0
SG: P4/mmm (123)
E_form (uncorrected), eV/atom: 0.943
Crystal system: tetragonal

***

Here is an optimized crystal structure of CdTeNF2 from Alexandria. Energies are from PBE-GGA.

Geometry as POSCAR:
```
CdTeNF2
1.0
4.2103 0.0000 0.0000
0.0000 4.2103 0.0000
0.0000 0.0000 4.7890
Cd Te N F
1 1 1 2
direct
0.0000 0.0000 0.0000 Cd
0.5000 0.5000 0.5000 Te
0.0000 0.0000 0.5000 N
0.0000 0.5000 0.0000 F
0.5000 0.0000 0.0000 F
```

Values from the calculation:
Energy above the lowest structure with this stoichiometry, kJ/mol of formula units: 99
SG: P4/mmm (123)
E_form (uncorrected), eV/atom: -0.099
Crystal system: tetragonal

***

Across the entries above, electronic total energy takes the values -12.250, -12.678, -16.621 eV/f.u., respectively.